VASP calculation (PBEsol) on an optimized crystal structure of Ca2H2Pd.

Structure (POSCAR):
```
Ca2H2Pd
1.0
3.109 0.000 0.000
0.000 6.840 0.000
0.000 0.000 6.840
H Ca Pd
4 4 2
direct
0.000 0.378 0.878
0.000 0.878 0.622
0.000 0.622 0.122
0.000 0.122 0.378
0.500 0.175 0.675
0.500 0.675 0.825
0.500 0.825 0.325
0.500 0.325 0.175
0.000 0.000 0.000
0.000 0.500 0.500
```

## Properties
Density of states at the Fermi level = 0.56 states/eV/f.u.
Calculated volume = 145.4 Å³ per cell
E above lowest polymorph = 115 meV per atom

VASP calculation (PBEsol) on an optimized crystal structure of Na2SrTl.

Structure (POSCAR):
```
Na2SrTl
1.0
-5.411 0.920 0.884
-3.795 -3.432 -2.175
-2.893 -3.403 3.311
Sr Tl Na
1 1 2
direct
0.000 0.000 0.000
0.500 0.500 0.500
0.250 0.250 0.250
0.750 0.750 0.750
```

## Properties
Density of states at the Fermi level = 4.42 states/eV/f.u.
Calculated volume = 121.5 Å³ per cell
ΔE_f = -0.08 eV/atom

VASP calculation (PBEsol) on an optimized crystal structure of CsAgBr3.

Structure (POSCAR):
```
CsAgBr3
1.0
-2.702 -0.812 4.524
4.592 -0.708 2.616
0.202 5.222 1.059
Cs Ag Br
1 1 3
direct
0.500 0.500 0.500
0.000 0.000 0.000
0.000 0.500 0.000
0.000 0.000 0.500
0.500 0.000 0.000
```

## Properties
Density of states at the Fermi level = 1.51 states/eV/f.u.
Calculated volume = 151.6 Å³ per cell
ΔE_f (raw) = -920 meV/atom

VASP calculation (PBEsol) on an optimized crystal structure of K2TaSi.

Structure (POSCAR):
```
K2TaSi
1.0
3.885 0.000 0.000
0.000 3.885 0.000
0.000 0.000 5.927
K Si Ta
2 1 1
direct
0.000 0.500 0.000
0.500 0.000 0.000
0.500 0.500 0.500
0.000 0.000 0.500
```

## Properties
Density of states at the Fermi level = 2.20 states/eV/f.u.
Calculated volume = 89.4 Å³ per cell
ΔE_f (raw) = 903 meV/atom

VASP calculation (PBEsol) on an optimized crystal structure of ScSb2TeF.

Structure (POSCAR):
```
ScSb2TeF
1.0
-0.767 1.142 -4.411
-1.929 -4.134 -0.735
-4.832 2.013 1.361
Sc Sb Te F
1 2 1 1
direct
0.500 0.500 0.500
0.000 0.500 0.000
0.500 0.000 0.000
0.000 0.000 0.500
0.000 0.000 0.000
```

## Properties
Density of states at the Fermi level = 2.61 states/eV/f.u.
Calculated volume = 115.5 Å³ per cell
ΔE_f (raw) = -486 meV/atom

VASP calculation (PBEsol) on an optimized crystal structure of Sb2OsCl.

Structure (POSCAR):
```
Sb2OsCl
1.0
-0.917 3.502 3.084
-1.442 -1.034 4.412
2.910 0.743 3.688
Sb Os Cl
2 1 1
direct
0.250 0.250 0.250
0.750 0.750 0.750
0.500 0.500 0.500
0.000 0.000 0.000
```

## Properties
Density of states at the Fermi level = 4.68 states/eV/f.u.
Calculated volume = 76.1 Å³ per cell
E above lowest polymorph = 0 meV per atom
ΔE_f (raw) = 511 meV/atom

VASP calculation (PBEsol) on an optimized crystal structure of ReBS2N.

Structure (POSCAR):
```
ReBS2N
1.0
2.755 0.000 0.000
0.000 4.577 0.000
0.000 0.000 4.577
Re S B N
1 2 1 1
direct
0.500 0.500 0.500
0.000 0.000 0.500
0.000 0.500 0.000
0.000 0.000 0.000
0.500 0.000 0.000
```

## Properties
Density of states at the Fermi level = 4.65 states/eV/f.u.
Calculated volume = 57.7 Å³ per cell
ΔE_f (raw) = 694 meV/atom

VASP calculation (PBEsol) on an optimized crystal structure of MgZn2Hg.

Structure (POSCAR):
```
MgZn2Hg
1.0
-1.859 -0.144 3.598
-3.084 -2.026 -1.675
1.945 -3.671 0.858
Mg Zn Hg
1 2 1
direct
0.000 0.000 0.500
0.000 0.500 0.000
0.500 0.000 0.000
0.500 0.500 0.500
```

## Properties
Density of states at the Fermi level = 1.36 states/eV/f.u.
Calculated volume = 69.7 Å³ per cell
E above lowest polymorph = 0 meV per atom
ΔE_f = -0.06 eV/atom

VASP calculation (PBEsol) on an optimized crystal structure of ReSi3Cl.

Structure (POSCAR):
```
ReSi3Cl
1.0
4.329 0.000 0.000
0.000 4.329 0.000
0.000 0.000 4.329
Re Si Cl
1 3 1
direct
0.500 0.500 0.500
0.000 0.500 0.000
0.000 0.000 0.500
0.500 0.000 0.000
0.000 0.000 0.000
```

## Properties
Density of states at the Fermi level = 3.68 states/eV/f.u.
Calculated volume = 81.1 Å³ per cell
ΔE_f (raw) = 1605 meV/atom

VASP calculation (PBEsol) on an optimized crystal structure of Sc9Ni5Ge8.

Structure (POSCAR):
```
Sc9Ni5Ge8
1.0
3.895 0.000 0.000
0.000 8.929 0.000
-1.947 -4.464 10.437
Sc Ni Ge
9 5 8
direct
0.415 0.215 0.829
0.725 0.725 0.451
0.415 0.615 0.829
0.112 0.112 0.223
0.585 0.785 0.171
0.585 0.385 0.171
0.888 0.888 0.777
0.275 0.275 0.549
0.000 0.500 0.000
0.805 0.080 0.610
0.195 0.920 0.390
0.805 0.530 0.610
0.500 0.000 0.000
0.195 0.470 0.390
0.305 0.666 0.611
0.000 0.178 0.000
0.868 0.368 0.736
0.695 0.055 0.389
0.000 0.822 0.000
0.695 0.334 0.389
0.132 0.632 0.264
0.305 0.945 0.611
```

## Properties
Density of states at the Fermi level = 11.86 states/eV/f.u.
Calculated volume = 362.9 Å³ per cell
ΔE_f = -0.83 eV/atom

VASP calculation (PBEsol) on an optimized crystal structure of GeSOF2.

Structure (POSCAR):
```
GeSOF2
1.0
-2.039 2.248 -1.986
-3.382 -1.284 2.018
0.548 2.986 2.818
Ge S O F
1 1 1 2
direct
0.000 0.000 0.000
0.500 0.500 0.500
0.500 0.000 0.000
0.000 0.000 0.500
0.000 0.500 0.000
```

## Properties
Density of states at the Fermi level = 1.14 states/eV/f.u.
Calculated volume = 62.2 Å³ per cell
E above lowest polymorph = 0 meV per atom
ΔE_f (raw) = -754 meV/atom

VASP calculation (PBEsol) on an optimized crystal structure of Mg2Nb2NiO8.

Structure (POSCAR):
```
Mg2Nb2NiO8
1.0
-2.608 -4.175 -1.420
5.075 -3.013 -0.460
-3.181 -0.944 9.186
Mg Nb Ni O
4 4 2 16
direct
0.747 0.413 0.542
0.753 0.871 0.458
0.253 0.587 0.458
0.247 0.129 0.542
0.753 0.282 0.225
0.747 0.057 0.775
0.247 0.718 0.775
0.253 0.943 0.225
0.750 0.640 0.000
0.250 0.360 0.000
0.408 0.183 0.134
0.092 0.050 0.866
0.592 0.817 0.866
0.908 0.950 0.134
0.920 0.438 0.112
0.580 0.326 0.888
0.080 0.562 0.888
0.420 0.674 0.112
0.042 0.287 0.372
0.458 0.915 0.628
0.114 0.833 0.379
0.386 0.454 0.621
0.886 0.167 0.621
0.614 0.546 0.379
0.542 0.085 0.372
0.958 0.713 0.628
```

## Properties
Calculated volume = 282.3 Å³ per cell
ΔE_f (raw) = -2311 meV/atom

VASP calculation (PBEsol) on an optimized crystal structure of Ba2Pt.

Structure (POSCAR):
```
Ba2Pt
1.0
6.534 -0.026 0.000
-2.254 6.133 0.000
-2.140 -3.054 5.366
Ba Pt
4 2
direct
0.700 0.200 0.899
0.200 0.300 0.500
0.800 0.700 0.500
0.300 0.800 0.101
0.250 0.250 0.000
0.750 0.750 0.000
```

## Properties
Density of states at the Fermi level = 2.19 states/eV/f.u.
Calculated volume = 214.7 Å³ per cell
ΔE_f = -0.44 eV/atom

VASP calculation (PBEsol) on an optimized crystal structure of Zr2TaMo.

Structure (POSCAR):
```
Zr2TaMo
1.0
-2.167 1.046 -2.197
1.402 -1.867 -2.273
-4.372 -5.402 1.741
Mo Zr Ta
1 2 1
direct
0.000 0.000 0.518
0.000 0.000 0.985
0.500 0.500 0.278
0.500 0.500 0.718
```

## Properties
Density of states at the Fermi level = 5.15 states/eV/f.u.
Calculated volume = 76.1 Å³ per cell
E above lowest polymorph = 0 meV per atom
ΔE_f = -0.01 eV/atom

VASP calculation (PBEsol) on an optimized crystal structure of FeAs3P.

Structure (POSCAR):
```
FeAs3P
1.0
-1.077 3.865 -1.947
-4.307 -1.155 0.089
-0.427 1.902 4.012
P As Fe
1 3 1
direct
0.500 0.500 0.500
0.000 0.500 0.000
0.000 0.000 0.500
0.500 0.000 0.000
0.000 0.000 0.000
```

## Properties
Density of states at the Fermi level = 3.95 states/eV/f.u.
Calculated volume = 88.7 Å³ per cell
ΔE_f = 0.55 eV/atom

VASP calculation (PBEsol) on an optimized crystal structure of DyGaCo4.

Structure (POSCAR):
```
DyGaCo4
1.0
-2.093 1.649 -2.904
-2.102 -4.228 -0.886
-4.154 -1.154 2.338
Co Ga Dy
4 1 1
direct
0.000 0.184 0.631
0.000 0.816 0.369
0.500 0.500 0.500
0.500 0.000 0.500
0.500 0.000 0.000
0.000 0.500 0.000
```

## Properties
Density of states at the Fermi level = 9.91 states/eV/f.u.
Calculated volume = 81.0 Å³ per cell
ΔE_f = -0.25 eV/atom

VASP calculation (PBEsol) on an optimized crystal structure of MnAgSb3.

Structure (POSCAR):
```
MnAgSb3
1.0
-1.031 5.149 -0.110
-5.081 -1.036 -0.836
-0.841 -0.058 5.184
Sb Mn Ag
3 1 1
direct
0.000 0.500 0.000
0.000 0.000 0.500
0.500 0.000 0.000
0.500 0.500 0.500
0.000 0.000 0.000
```

## Properties
Density of states at the Fermi level = 3.93 states/eV/f.u.
Calculated volume = 144.9 Å³ per cell
ΔE_f (raw) = 1013 meV/atom

VASP calculation (PBEsol) on an optimized crystal structure of CoTc2SnPb.

Structure (POSCAR):
```
CoTc2SnPb
1.0
4.515 0.000 0.000
0.000 4.515 0.000
0.000 0.000 4.699
Pb Co Sn Tc
1 1 1 2
direct
0.000 0.000 0.500
0.000 0.000 0.000
0.500 0.500 0.500
0.000 0.500 0.000
0.500 0.000 0.000
```

## Properties
Density of states at the Fermi level = 7.36 states/eV/f.u.
Calculated volume = 95.8 Å³ per cell
ΔE_f = 1.16 eV/atom

VASP calculation (PBEsol) on an optimized crystal structure of ZnPd2Pb2.

Structure (POSCAR):
```
ZnPd2Pb2
1.0
3.823 0.000 0.000
0.000 3.823 0.000
-1.912 -1.912 7.379
Pb Zn Pd
2 1 2
direct
0.388 0.388 0.775
0.612 0.612 0.225
0.000 0.000 0.000
0.250 0.750 0.500
0.750 0.250 0.500
```

## Properties
Density of states at the Fermi level = 2.43 states/eV/f.u.
Calculated volume = 107.9 Å³ per cell
ΔE_f = 0.06 eV/atom

VASP calculation (PBEsol) on an optimized crystal structure of BaGe2Os.

Structure (POSCAR):
```
BaGe2Os
1.0
-2.815 -1.431 3.634
1.745 -0.142 4.484
-1.512 3.189 3.274
Ge Os Ba
2 1 1
direct
0.250 0.250 0.250
0.750 0.750 0.750
0.500 0.500 0.500
0.000 0.000 0.000
```

## Properties
Density of states at the Fermi level = 1.45 states/eV/f.u.
Calculated volume = 78.9 Å³ per cell
ΔE_f = 0.39 eV/atom